<P>
## CuP2H2 (GGA-PBE)

Data for CuP2H2 after structural relaxation.

extended XYZ file:
```
10
Lattice="5.873 0.000 0.000 0.000 5.873 0.000 0.000 0.000 2.886" Properties=species:S:1:pos:R:3 pbc="T T T"
Cu 0.000 0.000 0.000
Cu 2.936 2.936 0.000
P 0.764 2.172 1.443
P 2.172 5.109 1.443
P 3.700 0.764 1.443
P 5.109 3.700 1.443
H 0.663 3.599 0.000
H 2.274 0.663 0.000
H 3.599 5.210 0.000
H 5.210 2.274 0.000
```

Volume in Å³ per atom: 10.0
Space-group type: P4/mbm (127)

<Q>
## CuP2H2 (GGA-PBE)

Data for CuP2H2 after structural relaxation.

extended XYZ file:
```
5
Lattice="-1.924 1.924 3.437 1.924 -1.924 3.437 1.924 1.924 -3.437" Properties=species:S:1:pos:R:3 pbc="T T T"
Cu 0.000 0.000 0.000
P 1.924 0.000 1.719
P 0.000 1.924 1.719
H 0.000 0.000 3.049
H 0.000 0.000 3.826
```

Volume in Å³ per atom: 10.2
Space-group type: I4/mmm (139)

Which is most stable, and by how much? <Q>, by 234 meV/atom.